No. 1
A geometry-optimized Nd3Y6Tl structure. Source: the Alexandria database, functional PBE-GGA.

Summary:
Calculated density = 5.91 g cm⁻³
Relative energy among the computed polymorphs = 29 meV per atom
Raw total energy = -110.55 eV for the cell shown
E_form = 0.2 eV/f.u.
Space group = No. 36

Lattice parameters (Å, degrees): 11.1365 11.1365 6.2455 90.00 90.00 121.89
Element x y z (fractional)
Nd: 0.1057 0.8943 0.5000
Nd: 0.2179 0.4517 0.1411
Nd: 0.4517 0.2179 0.6411
Nd: 0.5483 0.7821 0.1411
Nd: 0.7821 0.5483 0.6411
Nd: 0.8943 0.1057 0.0000
Y: 0.0652 0.4659 0.6780
Y: 0.1228 0.2092 0.5163
Y: 0.2092 0.1228 0.0163
Y: 0.2181 0.7819 0.9226
Y: 0.4403 0.5597 0.6489
Y: 0.4659 0.0652 0.1780
Y: 0.5341 0.9348 0.6780
Y: 0.5597 0.4403 0.1489
Y: 0.7819 0.2181 0.4226
Y: 0.7908 0.8772 0.5163
Y: 0.8772 0.7908 0.0163
Y: 0.9348 0.5341 0.1780
Tl: 0.2661 0.7339 0.4073
Tl: 0.7339 0.2661 0.9073


No. 2
A geometry-optimized Ba3Ga4Au structure. Source: the Alexandria database, functional PBE-GGA.

Summary:
Calculated density = 5.92 g cm⁻³
Raw total energy = -49.38 eV for the cell shown
E_form = -3.5 eV/f.u.
Space group = No. 59

Lattice parameters (Å, degrees): 6.1700 12.6076 6.3993 90.00 90.00 90.00
Element x y z (fractional)
Ba: 0.2500 0.0035 0.1888
Ba: 0.2500 0.4965 0.1888
Ba: 0.2500 0.7500 0.5347
Ba: 0.7500 0.2500 0.4653
Ba: 0.7500 0.5035 0.8112
Ba: 0.7500 0.9965 0.8112
Ga: 0.0068 0.2500 0.9646
Ga: 0.2500 0.1352 0.6883
Ga: 0.2500 0.3648 0.6883
Ga: 0.4932 0.2500 0.9646
Ga: 0.5068 0.7500 0.0354
Ga: 0.7500 0.6352 0.3117
Ga: 0.7500 0.8648 0.3117
Ga: 0.9932 0.7500 0.0354
Au: 0.2500 0.2500 0.3210
Au: 0.7500 0.7500 0.6790


No. 3
A geometry-optimized AlCdSi structure. Source: the Alexandria database, functional PBE-GGA.

Summary:
Calculated density = 4.43 g cm⁻³
Raw total energy = -19.15 eV for the cell shown
Space group = No. 59

Lattice parameters (Å, degrees): 3.1243 3.9270 10.2303 90.00 90.00 90.00
Element x y z (fractional)
Al: 0.2500 0.2500 0.0905
Al: 0.7500 0.7500 0.9095
Cd: 0.2500 0.2500 0.5790
Cd: 0.7500 0.7500 0.4210
Si: 0.2500 0.2500 0.8362
Si: 0.7500 0.7500 0.1638


No. 4
A geometry-optimized UTcAu structure. Source: the Alexandria database, functional PBE-GGA.

Summary:
Calculated density = 14.39 g cm⁻³
Raw total energy = -99.31 eV for the cell shown
E_form = 0.1 eV/f.u.
Space group = No. 12

Lattice parameters (Å, degrees): 9.4068 4.3494 6.0586 90.00 97.12 90.00
Element x y z (fractional)
U: 0.0666 0.0000 0.2674
U: 0.4334 0.5000 0.7326
U: 0.5666 0.5000 0.2674
U: 0.9334 0.0000 0.7326
Tc: 0.1952 0.0000 0.6171
Tc: 0.3048 0.5000 0.3829
Tc: 0.6952 0.5000 0.6171
Tc: 0.8048 0.0000 0.3829
Au: 0.1432 0.5000 0.9233
Au: 0.3568 0.0000 0.0767
Au: 0.6432 0.0000 0.9233
Au: 0.8568 0.5000 0.0767


> calculated density of number 4 (UTcAu)?

14.39 g cm⁻³